Entry 1:
# K3Al (meta-GGA SCAN, PBEsol geometry)
data_K3Al
_symmetry_space_group_name_H-M 'I m m 2'
_symmetry_Int_Tables_number 44
_symmetry_space_group_name_Hall 'I 2 -2'
_cell_length_a 4.760
_cell_length_b 12.382
_cell_length_c 6.225
_cell_angle_alpha 90.00
_cell_angle_beta 90.00
_cell_angle_gamma 90.00
loop_
_atom_site_label
_atom_site_type_symbol
_atom_site_fract_x
_atom_site_fract_y
_atom_site_fract_z
K1 K 0.000 0.000 0.000
K2 K 0.000 0.218 0.501
Al1 Al 0.000 0.500 0.998
# energy: -7.891 eV per atom
# Fermi-level density of states: 2.36 states/eV/f.u.
# polymorph energy (0 for the lowest one): 0.002 eV/atom
# energy relative to the elements: 0.29 eV per atom
# calculated volume: 367 Å³/cell


Entry 2:
# K3Al (meta-GGA SCAN, PBEsol geometry)
data_K3Al
_symmetry_space_group_name_H-M 'P m -3 n'
_symmetry_Int_Tables_number 223
_symmetry_space_group_name_Hall '-P 4n 2 3'
_cell_length_a 7.055
_cell_length_b 7.055
_cell_length_c 7.055
_cell_angle_alpha 90.00
_cell_angle_beta 90.00
_cell_angle_gamma 90.00
loop_
_atom_site_label
_atom_site_type_symbol
_atom_site_fract_x
_atom_site_fract_y
_atom_site_fract_z
K1 K 0.000 0.250 0.500
Al1 Al 0.000 0.000 0.000
# energy: -7.890 eV per atom
# Fermi-level density of states: 3.45 states/eV/f.u.
# polymorph energy (0 for the lowest one): 0.003 eV/atom
# energy relative to the elements: 0.29 eV per atom
# calculated volume: 351 Å³/cell


Entry 3:
# K3Al (meta-GGA SCAN, PBEsol geometry)
data_K3Al
_symmetry_space_group_name_H-M 'P 63/m m c'
_symmetry_Int_Tables_number 194
_symmetry_space_group_name_Hall '-P 6c 2c'
_cell_length_a 8.0310
_cell_length_b 8.0310
_cell_length_c 6.4376
_cell_angle_alpha 90.00
_cell_angle_beta 90.00
_cell_angle_gamma 120.00
loop_
_atom_site_label
_atom_site_type_symbol
_atom_site_fract_x
_atom_site_fract_y
_atom_site_fract_z
K1 K 0.1794 0.3588 0.2500
Al1 Al 0.3333 0.6667 0.7500
# energy: -7.884 eV per atom
# Fermi-level density of states: 3.01 states/eV/f.u.
# polymorph energy (0 for the lowest one): 0.009 eV/atom
# energy relative to the elements: 0.30 eV per atom
# calculated volume: 360 Å³/cell


Entry 4:
# K3Al (meta-GGA SCAN, PBEsol geometry)
data_K3Al
_symmetry_space_group_name_H-M 'I 4/m m m'
_symmetry_Int_Tables_number 139
_symmetry_space_group_name_Hall '-I 4 2'
_cell_length_a 5.632
_cell_length_b 5.632
_cell_length_c 11.001
_cell_angle_alpha 90.00
_cell_angle_beta 90.00
_cell_angle_gamma 90.00
loop_
_atom_site_label
_atom_site_type_symbol
_atom_site_fract_x
_atom_site_fract_y
_atom_site_fract_z
K1 K 0.000 0.000 0.000
K2 K 0.000 0.500 0.250
Al1 Al 0.000 0.000 0.500
# energy: -7.893 eV per atom
# Fermi-level density of states: 2.49 states/eV/f.u.
# polymorph energy (0 for the lowest one): 0.000 eV/atom
# energy relative to the elements: 0.29 eV per atom
# calculated volume: 349 Å³/cell


Entry 5:
# KLaAl3 (meta-GGA SCAN, PBEsol geometry)
data_KLaAl3
_symmetry_space_group_name_H-M 'P m -3 m'
_symmetry_Int_Tables_number 221
_symmetry_space_group_name_Hall '-P 4 2 3'
_cell_length_a 5.232
_cell_length_b 5.232
_cell_length_c 5.232
_cell_angle_alpha 90.00
_cell_angle_beta 90.00
_cell_angle_gamma 90.00
loop_
_atom_site_label
_atom_site_type_symbol
_atom_site_fract_x
_atom_site_fract_y
_atom_site_fract_z
K1 K 0.000 0.000 0.000
La1 La 0.500 0.500 0.500
Al1 Al 0.000 0.000 0.500
# energy: -13.916 eV per atom
# Fermi-level density of states: 2.99 states/eV/f.u.
# energy relative to the elements: 1.02 eV per atom
# calculated volume: 143 Å³/cell


Entry 6:
# KLa3Al (meta-GGA SCAN, PBEsol geometry)
data_KLa3Al
_symmetry_space_group_name_H-M 'P m -3 m'
_symmetry_Int_Tables_number 221
_symmetry_space_group_name_Hall '-P 4 2 3'
_cell_length_a 5.946
_cell_length_b 5.946
_cell_length_c 5.946
_cell_angle_alpha 90.00
_cell_angle_beta 90.00
_cell_angle_gamma 90.00
loop_
_atom_site_label
_atom_site_type_symbol
_atom_site_fract_x
_atom_site_fract_y
_atom_site_fract_z
K1 K 0.000 0.000 0.000
La1 La 0.000 0.500 0.500
Al1 Al 0.500 0.500 0.500
# energy: -28.795 eV per atom
# Fermi-level density of states: 5.31 states/eV/f.u.
# energy relative to the elements: 0.28 eV per atom
# calculated volume: 210 Å³/cell


Entry 7:
# KLaAl2 (meta-GGA SCAN, PBEsol geometry)
data_KLaAl2
_symmetry_space_group_name_H-M 'P 4/m m m'
_symmetry_Int_Tables_number 123
_symmetry_space_group_name_Hall '-P 4 2'
_cell_length_a 3.868
_cell_length_b 3.868
_cell_length_c 8.090
_cell_angle_alpha 90.00
_cell_angle_beta 90.00
_cell_angle_gamma 90.00
loop_
_atom_site_label
_atom_site_type_symbol
_atom_site_fract_x
_atom_site_fract_y
_atom_site_fract_z
K1 K 0.000 0.000 0.000
La1 La 0.000 0.000 0.500
Al1 Al 0.500 0.500 0.300
# energy: -16.690 eV per atom
# Fermi-level density of states: 1.45 states/eV/f.u.
# energy relative to the elements: 0.04 eV per atom
# calculated volume: 121 Å³/cell


Entry 8:
# KLa2AlS (meta-GGA SCAN, PBEsol geometry)
data_KLa2AlS
_symmetry_space_group_name_H-M 'P 4/m m m'
_symmetry_Int_Tables_number 123
_symmetry_space_group_name_Hall '-P 4 2'
_cell_length_a 5.462
_cell_length_b 5.462
_cell_length_c 5.064
_cell_angle_alpha 90.00
_cell_angle_beta 90.00
_cell_angle_gamma 90.00
loop_
_atom_site_label
_atom_site_type_symbol
_atom_site_fract_x
_atom_site_fract_y
_atom_site_fract_z
K1 K 0.000 0.000 0.000
La1 La 0.000 0.500 0.000
Al1 Al 0.500 0.500 0.500
S1 S 0.000 0.000 0.500
# energy: -21.715 eV per atom
# Fermi-level density of states: 4.16 states/eV/f.u.
# calculated volume: 151 Å³/cell


- Among the records above, which one has the lowest Fermi-level density of states?
  KLaAl2